Record 1
Material: K3AuF6
Method: DFT, PBE
State: optimized geometry

Results
Mass density (g/cm3): 4.21

Unit cell a=6.203 b=6.203 c=6.203 alpha=60.00 beta=60.00 gamma=60.00
Fractional coordinates of all 10 atoms:
K 0.000 0.000 0.000
K 0.250 0.250 0.250
K 0.750 0.750 0.750
Au 0.500 0.500 0.500
F 0.262 0.262 0.738
F 0.262 0.738 0.262
F 0.262 0.738 0.738
F 0.738 0.262 0.262
F 0.738 0.262 0.738
F 0.738 0.738 0.262


Record 2
Material: PmHfSc
Method: DFT, PBE
State: optimized geometry

Results
Mass density (g/cm3): 6.71
Offset from the most stable computed form (eV/atom): 0.0000
Energy of formation (meV per atom): 894

Unit cell a=7.145 b=7.145 c=7.145 alpha=90.00 beta=90.00 gamma=90.00
Fractional coordinates of all 12 atoms:
Pm 0.000 0.000 0.000
Pm 0.000 0.500 0.500
Pm 0.500 0.000 0.500
Pm 0.500 0.500 0.000
Hf 0.250 0.250 0.250
Hf 0.250 0.750 0.750
Hf 0.750 0.250 0.750
Hf 0.750 0.750 0.250
Sc 0.000 0.000 0.500
Sc 0.000 0.500 0.000
Sc 0.500 0.000 0.000
Sc 0.500 0.500 0.500


Record 3
Material: NaScCo
Method: DFT, PBE
State: optimized geometry

Results
Mass density (g/cm3): 3.43
Offset from the most stable computed form (eV/atom): 0.0000

Unit cell a=6.265 b=6.265 c=6.265 alpha=90.00 beta=90.00 gamma=90.00
Fractional coordinates of all 12 atoms:
Na 0.000 0.000 0.000
Na 0.000 0.500 0.500
Na 0.500 0.000 0.500
Na 0.500 0.500 0.000
Sc 0.000 0.000 0.500
Sc 0.000 0.500 0.000
Sc 0.500 0.000 0.000
Sc 0.500 0.500 0.500
Co 0.250 0.250 0.250
Co 0.250 0.750 0.750
Co 0.750 0.250 0.750
Co 0.750 0.750 0.250


Record 4
Material: Na2Ho3Te4Cl3O12
Method: DFT, PBE
State: optimized geometry

Results
Mass density (g/cm3): 5.83

Unit cell a=12.130 b=12.130 c=16.512 alpha=132.68 beta=132.68 gamma=26.17
Fractional coordinates of all 48 atoms:
Na 0.060 0.608 0.926
Na 0.392 0.940 0.574
Na 0.608 0.060 0.426
Na 0.940 0.392 0.074
Ho 0.247 0.751 0.915
Ho 0.249 0.753 0.585
Ho 0.252 0.748 0.250
Ho 0.748 0.252 0.750
Ho 0.751 0.247 0.415
Ho 0.753 0.249 0.085
Te 0.071 0.658 0.300
Te 0.161 0.563 0.594
Te 0.342 0.929 0.200
Te 0.437 0.839 0.906
Te 0.563 0.161 0.094
Te 0.658 0.071 0.800
Te 0.839 0.437 0.406
Te 0.929 0.342 0.700
Cl 0.000 0.500 0.000
Cl 0.003 0.497 0.668
Cl 0.497 0.003 0.168
Cl 0.500 0.000 0.500
Cl 0.503 0.997 0.832
Cl 0.997 0.503 0.332
O 0.009 0.855 0.286
O 0.030 0.120 0.388
O 0.068 0.102 0.077
O 0.102 0.068 0.577
O 0.120 0.030 0.888
O 0.145 0.991 0.214
O 0.356 0.499 0.742
O 0.382 0.476 0.409
O 0.397 0.430 0.072
O 0.430 0.397 0.572
O 0.476 0.382 0.909
O 0.499 0.356 0.242
O 0.501 0.644 0.758
O 0.524 0.618 0.091
O 0.570 0.603 0.428
O 0.603 0.570 0.928
O 0.618 0.524 0.591
O 0.644 0.501 0.258
O 0.855 0.009 0.786
O 0.880 0.970 0.112
O 0.898 0.932 0.423
O 0.932 0.898 0.923
O 0.970 0.880 0.612
O 0.991 0.145 0.714


Record 5
Material: YOsNO
Method: DFT, PBE
State: optimized geometry

Results
Mass density (g/cm3): 9.95
Offset from the most stable computed form (eV/atom): 0.8130

Unit cell a=6.982 b=6.982 c=4.232 alpha=90.00 beta=90.00 gamma=90.00
Fractional coordinates of all 16 atoms:
Y 0.000 0.250 0.000
Y 0.000 0.750 0.000
Y 0.500 0.250 0.000
Y 0.500 0.750 0.000
Os 0.250 0.000 0.499
Os 0.250 0.500 0.500
Os 0.750 0.000 0.500
Os 0.750 0.500 0.499
N 0.250 0.000 0.998
N 0.250 0.500 0.999
N 0.750 0.000 0.999
N 0.750 0.500 0.998
O 0.499 0.251 0.500
O 0.499 0.749 0.500
O 0.999 0.249 0.500
O 0.999 0.751 0.500


Record 6
Material: GdErTm2Mg2
Method: DFT, PBE
State: optimized geometry

Results
Mass density (g/cm3): 6.99

Unit cell a=5.444 b=3.603 c=17.230 alpha=90.00 beta=90.00 gamma=90.00
Fractional coordinates of all 12 atoms:
Gd 0.000 0.000 0.000
Gd 0.000 0.500 0.500
Er 0.500 0.000 0.809
Er 0.500 0.500 0.309
Tm 0.000 0.000 0.679
Tm 0.000 0.500 0.179
Tm 0.500 0.000 0.132
Tm 0.500 0.500 0.632
Mg 0.000 0.000 0.339
Mg 0.000 0.500 0.839
Mg 0.500 0.000 0.469
Mg 0.500 0.500 0.969


| no. | raw total energy (eV per cell) |
| --- | --- |
| 1 | -37.19 |
| 2 | -73.38 |
| 3 | -51.57 |
| 4 | -285.62 |
| 5 | -133.65 |
| 6 | -43.18 |